# 1
# ReMo2W GGA-PBE optimized geometry
data_ReMo2W
_symmetry_space_group_name_H-M 'C m c m'
_symmetry_Int_Tables_number 63
_symmetry_space_group_name_Hall '-C 2c 2'
_cell_length_a 8.933
_cell_length_b 8.928
_cell_length_c 3.154
_cell_angle_alpha 90.00
_cell_angle_beta 90.00
_cell_angle_gamma 90.00
loop_
_atom_site_label
_atom_site_fract_x
_atom_site_fract_y
_atom_site_fract_z
_atom_site_occupancy
Re1 0.000 0.129 0.250 1
Mo1 0.250 0.122 0.750 1
W1 0.000 0.373 0.750 1
# Energy above the lowest structure with this stoichiometry (eV/f.u.): 0.04


# 2
This record from Alexandria via LeMat-Bulk describes crystalline Re2Mo7W3 at its relaxed geometry. The functional is GGA-PBE.

CIF file:
```
data_Re2Mo7W3
_symmetry_space_group_name_H-M 'C m m m'
_symmetry_Int_Tables_number 65
_symmetry_space_group_name_Hall '-C 2 2'
_cell_length_a 4.500
_cell_length_b 28.045
_cell_length_c 3.113
_cell_angle_alpha 90.00
_cell_angle_beta 90.00
_cell_angle_gamma 90.00
loop_
_atom_site_label
_atom_site_fract_x
_atom_site_fract_y
_atom_site_fract_z
_atom_site_occupancy
Re1 0.000 0.161 0.000 1
Mo1 0.000 0.000 0.000 1
Mo2 0.000 0.081 0.500 1
Mo3 0.000 0.264 0.000 1
Mo4 0.000 0.420 0.000 1
W1 0.000 0.342 0.500 1
W2 0.000 0.500 0.500 1
```


# 3
# ReMoW6 GGA-PBE optimized geometry
data_ReMoW6
_symmetry_space_group_name_H-M 'R -3'
_symmetry_Int_Tables_number 148
_symmetry_space_group_name_Hall '-R 3'
_cell_length_a 7.1492
_cell_length_b 7.1492
_cell_length_c 8.7764
_cell_angle_alpha 90.00
_cell_angle_beta 90.00
_cell_angle_gamma 120.00
loop_
_atom_site_label
_atom_site_fract_x
_atom_site_fract_y
_atom_site_fract_z
_atom_site_occupancy
Re1 0.0000 0.0000 0.0000 1
Mo1 0.0000 0.0000 0.5000 1
W1 0.9998 0.2500 0.2498 1
# Energy above the lowest structure with this stoichiometry (eV/f.u.): 0.31


# 4
# ReMo2W GGA-PBE optimized geometry
data_ReMo2W
_symmetry_space_group_name_H-M 'C 1 m 1'
_symmetry_Int_Tables_number 8
_cell_length_a 9.377
_cell_length_b 2.784
_cell_length_c 4.934
_cell_angle_alpha 90.00
_cell_angle_beta 99.31
_cell_angle_gamma 90.00
loop_
_symmetry_equiv_pos_as_xyz
'x,y,z'
'x,-y,z'
'x+1/2,y+1/2,z'
'x+1/2,-y+1/2,z'
loop_
_atom_site_label
_atom_site_fract_x
_atom_site_fract_y
_atom_site_fract_z
_atom_site_occupancy
Re1 0.000 0.000 0.000 1
Mo1 0.002 0.500 0.501 1
Mo2 0.258 0.000 0.744 1
W1 0.245 0.500 0.235 1
# Energy above the lowest structure with this stoichiometry (eV/f.u.): 1.14


# 5
# ReMo2W GGA-PBE optimized geometry
data_ReMo2W
_symmetry_space_group_name_H-M 'F m -3 m'
_symmetry_Int_Tables_number 225
_symmetry_space_group_name_Hall '-F 4 2 3'
_cell_length_a 6.310
_cell_length_b 6.310
_cell_length_c 6.310
_cell_angle_alpha 90.00
_cell_angle_beta 90.00
_cell_angle_gamma 90.00
loop_
_atom_site_label
_atom_site_fract_x
_atom_site_fract_y
_atom_site_fract_z
_atom_site_occupancy
Re1 0.000 0.000 0.000 1
Mo1 0.250 0.250 0.250 1
W1 0.000 0.000 0.500 1
# Energy above the lowest structure with this stoichiometry (eV/f.u.): 0.10


# 6
# Re2MoW GGA-PBE optimized geometry
data_Re2MoW
_symmetry_space_group_name_H-M 'C 1 m 1'
_symmetry_Int_Tables_number 8
_cell_length_a 9.315
_cell_length_b 2.802
_cell_length_c 4.859
_cell_angle_alpha 90.00
_cell_angle_beta 99.83
_cell_angle_gamma 90.00
loop_
_symmetry_equiv_pos_as_xyz
'x,y,z'
'x,-y,z'
'x+1/2,y+1/2,z'
'x+1/2,-y+1/2,z'
loop_
_atom_site_label
_atom_site_fract_x
_atom_site_fract_y
_atom_site_fract_z
_atom_site_occupancy
Re1 0.000 0.000 0.000 1
Re2 0.239 0.500 0.244 1
Mo1 0.250 0.000 0.753 1
W1 0.489 0.000 0.493 1
# Energy above the lowest structure with this stoichiometry (eV/f.u.): 0.43


no.,magnetic moment (μB per formula unit),formation enthalpy at 0 K (eV per atom)
1,0.0,0.03
2,0.0,0.29
3,0.0,0.05
4,0.0,0.30
5,0.0,0.04
6,0.0,0.20